Record 1
Material: BeAl2Ge
Method: DFT, GGA-PBE
State: optimized geometry

a b c (Å): 7.8088 7.8088 5.9695
angles (deg): 49.15 49.15 90.00
Last column: nearest neighbours and their distance in Å.
Element x y z (fractional)
Al (0.5315, 0.1250, 0.2500)  2 Be 2.37
Al (0.3750, 0.4685, 0.7500)  2 Be 2.37
Al (0.8750, 0.7815, 0.7500)  2 Be 2.37
Al (0.2185, 0.6250, 0.2500)  2 Be 2.37
Be (0.5000, 0.5000, 0.0000)  2 Ge 2.27, 4 Al 2.37
Be (0.2500, 0.7500, 0.5000)  2 Ge 2.27, 4 Al 2.37
Ge (0.0000, 0.0000, 0.0000)  2 Be 2.27
Ge (0.7500, 0.2500, 0.5000)  2 Be 2.27

Electronic total energy   -28.353 eV per cell
Total moment   0.0 μB/cell
ΔE to the lowest computed polymorph   0.0543 eV per atom
ΔE_f   413 meV/atom
V   69 Å³/f.u.

=====

Record 2
Material: BeAlGe3
Method: DFT, GGA-PBE
State: optimized geometry

a b c (Å): 4.5227 4.5227 4.5227
angles (deg): 90.00 90.00 90.00
Last column: nearest neighbours and their distance in Å.
Element x y z (fractional)
Ge (0.0000, 0.0000, 0.5000)  2 Be 2.26
Ge (0.0000, 0.5000, 0.0000)  2 Be 2.26
Ge (0.5000, 0.0000, 0.0000)  2 Be 2.26
Al (0.5000, 0.5000, 0.5000)  12 Ge 3.20
Be (0.0000, 0.0000, 0.0000)  6 Ge 2.26

Electronic total energy   -18.793 eV per cell
Total moment   0.0 μB/cell
ΔE to the lowest computed polymorph   0.0000 eV per atom
ΔE_f   506 meV/atom
V   93 Å³/f.u.

=====

Record 3
Material: Be2AlGeH
Method: DFT, GGA-PBE
State: optimized geometry

a b c (Å): 3.7539 3.8236 3.7539
angles (deg): 90.00 90.00 90.00
Last column: nearest neighbours and their distance in Å.
Element x y z (fractional)
Be (0.5000, 0.0000, 0.0000)  2 H 1.88
Be (0.0000, 0.0000, 0.5000)  2 H 1.88
Ge (0.5000, 0.5000, 0.5000)  4 Al 2.65, 8 Be 2.68
Al (0.0000, 0.5000, 0.0000)  2 H 1.91
H (0.0000, 0.0000, 0.0000)  4 Be 1.88, 2 Al 1.91

Electronic total energy   -16.897 eV per cell
Total moment   0.0 μB/cell
V   54 Å³/f.u.

=====

Q: Number 1 is which compound?
A: BeAl2Ge

=====

Q: What is the formula in the first record?
A: BeAl2Ge